BeNiSbI2 | PBE | relaxed

Output
Electronic total energy: -2.48 eV per atom
Space-group type: No. 123
Relative energy among the computed polymorphs: 0.100 eV per atom

The structure in POSCAR format:
```
BeNiSbI2
1.0
-4.846 1.102 -1.619
-0.264 -4.649 -2.374
-1.804 -1.970 4.059
Ni I Be Sb
1 2 1 1
Direct
0.500 0.500 0.500 Ni
0.000 0.500 0.000 I
0.500 0.000 0.000 I
0.000 0.000 0.000 Be
0.000 0.000 0.500 Sb
```